{
  "formula": "Y2Zr2Pt",
  "functional": "PBE-GGA",
  "state": "relaxed",
  "cell": [[-4.981, -3.153, -3.795], [3.197, -6.170, 0.930], [-2.774, -0.790, 4.298]],
  "species": ["Y", "Y", "Y", "Y", "Pt", "Pt", "Zr", "Zr", "Zr", "Zr"],
  "frac_coords": [[0.166, 0.666, 0.500], [0.834, 0.334, 0.500], [0.334, 0.166, 0.500], [0.666, 0.834, 0.500], [0.500, 0.500, 0.000], [0.000, 0.000, 0.000], [0.148, 0.352, 0.000], [0.852, 0.648, 0.000], [0.352, 0.852, 0.000], [0.648, 0.148, 0.000]],
  "delta_e_f_kj_per_mol_atoms": -28,
  "volume_a3_per_atom": 25.44,
  "total_energy_ev_per_fu": -37.5
}


{
  "formula": "Cd8Ag3Pd2",
  "functional": "PBE-GGA",
  "state": "relaxed",
  "cell": [[-1.690, -0.195, -4.665], [1.000, -7.160, -2.023], [-7.037, -2.521, 0.695]],
  "species": ["Cd", "Cd", "Cd", "Cd", "Cd", "Cd", "Cd", "Cd", "Ag", "Ag", "Ag", "Pd", "Pd"],
  "frac_coords": [[0.930, 0.155, 0.155], [0.639, 0.604, 0.078], [0.361, 0.396, 0.922], [0.797, 0.429, 0.429], [0.203, 0.571, 0.571], [0.361, 0.922, 0.396], [0.639, 0.078, 0.604], [0.070, 0.845, 0.845], [0.500, 0.000, 0.000], [0.000, 0.756, 0.244], [0.000, 0.244, 0.756], [0.624, 0.694, 0.694], [0.376, 0.306, 0.306]],
  "delta_e_f_kj_per_mol_atoms": -10,
  "relative_energy_kj_per_mol_atoms": 0.4,
  "volume_a3_per_atom": 20.09,
  "total_energy_ev_per_fu": -27.7
}


{
  "formula": "AcPrGdZn",
  "functional": "PBE-GGA",
  "state": "relaxed",
  "cell": [[-5.542, -0.908, -0.409], [-2.267, -1.381, -4.966], [-1.943, -5.215, -0.855]],
  "species": ["Pr", "Zn", "Gd", "Ac"],
  "frac_coords": [[0.250, 0.250, 0.250], [0.000, 0.000, 0.000], [0.750, 0.750, 0.750], [0.500, 0.500, 0.500]],
  "delta_e_f_kj_per_mol_atoms": 14,
  "volume_a3_per_atom": 31.56,
  "total_energy_ev_per_fu": -23.7
}


{
  "formula": "Zn2AgTe",
  "functional": "PBE-GGA",
  "state": "relaxed",
  "cell": [[6.591, 0.000, 0.000], [0.000, 6.591, 0.000], [3.295, 3.295, 5.017]],
  "species": ["Zn", "Zn", "Zn", "Zn", "Ag", "Ag", "Te", "Te"],
  "frac_coords": [[0.875, 0.868, 0.750], [0.618, 0.125, 0.250], [0.375, 0.382, 0.750], [0.132, 0.625, 0.250], [0.250, 0.750, 0.500], [0.500, 0.500, 0.000], [0.000, 0.000, 0.000], [0.750, 0.250, 0.500]],
  "e_form_raw_ev_per_atom": 0.176,
  "relative_energy_kj_per_mol_atoms": 17.2,
  "volume_a3_per_atom": 27.24,
  "total_energy_ev_per_fu": -7.8
}